[1]
VASP calculation (PBE) on a relaxed CdCu2H2 crystal.

Its calculated density is 7.52 Mg/m³. For the energy above the most stable polymorph in this dataset, the calculation gives 0.00 kcal/mol of atoms.

Cell and atoms, written as CIF:
```
data_CdCu2H2
_chemical_formula_sum 'Cd2 Cu4 H4'
_space_group_name_H-M_alt 'I 4/m m m'
_space_group_IT_number 139
_space_group_name_Hall '-I 4 2'
_cell_length_a 3.046
_cell_length_b 3.046
_cell_length_c 11.499
_cell_angle_alpha 90.00
_cell_angle_beta 90.00
_cell_angle_gamma 90.00
loop_
_atom_site_label
_atom_site_type_symbol
_atom_site_fract_x
_atom_site_fract_y
_atom_site_fract_z
Cd1 Cd 0.000 0.000 0.000
Cu1 Cu 0.000 0.000 0.329
H1 H 0.000 0.500 0.250
```



[2]
VASP calculation (PBE) on a relaxed Cd2Cu2H crystal.

The calculation puts the uncorrected energy at -24.092 eV/cell. Its calculated density is 8.07 Mg/m³.

Cell and atoms, written as CIF:
```
data_Cd2Cu2H
_chemical_formula_sum 'Cd4 Cu4 H2'
_space_group_name_H-M_alt 'P 4/m b m'
_space_group_IT_number 127
_space_group_name_Hall '-P 4 2ab'
_cell_length_a 5.487
_cell_length_b 5.487
_cell_length_c 4.827
_cell_angle_alpha 90.00
_cell_angle_beta 90.00
_cell_angle_gamma 90.00
loop_
_atom_site_label
_atom_site_type_symbol
_atom_site_fract_x
_atom_site_fract_y
_atom_site_fract_z
Cd1 Cd 0.175 0.325 0.000
Cu1 Cu 0.169 0.669 0.500
H1 H 0.000 0.000 0.500
```



[3]
VASP calculation (PBE) on a relaxed Cd3CuH crystal.

Its calculated density is 5.21 Mg/m³. For the energy above the most stable polymorph in this dataset, the calculation gives 4.70 kcal/mol of atoms.

Cell and atoms, written as CIF:
```
data_Cd3CuH
_chemical_formula_sum 'Cd3 Cu1 H1'
_space_group_name_H-M_alt 'P m -3 m'
_space_group_IT_number 221
_space_group_name_Hall '-P 4 2 3'
_cell_length_a 5.039
_cell_length_b 5.039
_cell_length_c 5.039
_cell_angle_alpha 90.00
_cell_angle_beta 90.00
_cell_angle_gamma 90.00
loop_
_atom_site_label
_atom_site_type_symbol
_atom_site_fract_x
_atom_site_fract_y
_atom_site_fract_z
Cd1 Cd 0.000 0.000 0.500
Cu1 Cu 0.000 0.000 0.000
H1 H 0.500 0.500 0.500
```



[4]
VASP calculation (PBE) on a relaxed Cd2CuH2 crystal.

Its calculated density is 7.28 Mg/m³. For the energy above the most stable polymorph in this dataset, the calculation gives 0.00 kcal/mol of atoms.

Cell and atoms, written as CIF:
```
data_Cd2CuH2
_chemical_formula_sum 'Cd4 Cu2 H4'
_space_group_name_H-M_alt 'P 4/m b m'
_space_group_IT_number 127
_space_group_name_Hall '-P 4 2ab'
_cell_length_a 5.607
_cell_length_b 5.607
_cell_length_c 4.211
_cell_angle_alpha 90.00
_cell_angle_beta 90.00
_cell_angle_gamma 90.00
loop_
_atom_site_label
_atom_site_type_symbol
_atom_site_fract_x
_atom_site_fract_y
_atom_site_fract_z
Cd1 Cd 0.185 0.315 0.000
Cu1 Cu 0.000 0.000 0.500
H1 H 0.227 0.273 0.500
```



[5]
VASP calculation (PBE) on a relaxed Cd3CuH crystal.

Its calculated density is 7.90 Mg/m³. For the energy above the most stable polymorph in this dataset, the calculation gives 0.00 kcal/mol of atoms.

Cell and atoms, written as CIF:
```
data_Cd3CuH
_chemical_formula_sum 'Cd3 Cu1 H1'
_space_group_name_H-M_alt 'P m -3 m'
_space_group_IT_number 221
_space_group_name_Hall '-P 4 2 3'
_cell_length_a 4.387
_cell_length_b 4.387
_cell_length_c 4.387
_cell_angle_alpha 90.00
_cell_angle_beta 90.00
_cell_angle_gamma 90.00
loop_
_atom_site_label
_atom_site_type_symbol
_atom_site_fract_x
_atom_site_fract_y
_atom_site_fract_z
Cd1 Cd 0.000 0.000 0.500
Cu1 Cu 0.500 0.500 0.500
H1 H 0.000 0.000 0.000
```



[6]
VASP calculation (PBE) on a relaxed CdCu2H2 crystal.

Its calculated density is 7.16 Mg/m³. For the energy above the most stable polymorph in this dataset, the calculation gives 6.86 kcal/mol of atoms.

Cell and atoms, written as CIF:
```
data_CdCu2H2
_chemical_formula_sum 'Cd2 Cu4 H4'
_space_group_name_H-M_alt 'P 4/m b m'
_space_group_IT_number 127
_space_group_name_Hall '-P 4 2ab'
_cell_length_a 6.540
_cell_length_b 6.540
_cell_length_c 2.618
_cell_angle_alpha 90.00
_cell_angle_beta 90.00
_cell_angle_gamma 90.00
loop_
_atom_site_label
_atom_site_type_symbol
_atom_site_fract_x
_atom_site_fract_y
_atom_site_fract_z
Cd1 Cd 0.000 0.000 0.000
Cu1 Cu 0.130 0.370 0.500
H1 H 0.092 0.592 0.000
```



Q: The lowest calculated density belongs to which entry?
A: number 3